DFT (PBE with a Hubbard U) results for a relaxed structure of MnVNiHO.

Results
Crystal system ... monoclinic
Energy ... -25.9 eV/cell
Relative energy among the computed polymorphs ... 0.2318 eV/atom
V ... 63 Å³/cell

Cell: 5.801 5.801 3.740 Å, 94.28 94.28 30.33°
Atoms (fractional coordinates):
Mn (0.000, 0.000, 0.000)
V (0.683, 0.683, 0.547)
Ni (0.392, 0.392, 0.475)
H (0.840, 0.840, 0.357)
O (0.645, 0.645, 0.030)